First-principles (PBE) data for an optimized crystal structure of LiSiB, as listed in the Alexandria database.

Values from the calculation:
SG: P-6m2 (187)
Raw formation energy: -0.091 eV/atom
Total magnetization: 0.00 μB/atom
Volume: 13.204 Å³ per atom
Final energy: -4.763 eV per atom
DOS at the Fermi energy: 0.52 states/eV/cell

Cell lengths 3.4234, 3.4234, 3.9031 Å; angles 90.00, 90.00, 120.00 degrees
Last column: nearest neighbours and their distance in Å.
Element x y z (fractional)
Li 0.0000 0.0000 0.0000  6 Si 2.78, 6 B 2.78
Si 0.6667 0.3333 0.5000  3 B 1.98
B 0.3333 0.6667 0.5000  3 Si 1.98



First-principles (PBE) data for an optimized crystal structure of PaTi2Ga9, as listed in the Alexandria database.

Values from the calculation:
SG: P4/mmm (123)
Total magnetization: 0.00 μB/atom
ΔE_f: -0.341 eV/atom
Volume: 17.259 Å³ per atom
Final energy: -4.718 eV per atom
DOS at the Fermi energy: 6.05 states/eV/cell

Cell lengths 4.1095, 4.1095, 12.2633 Å; angles 90.00, 90.00, 90.00 degrees
Last column: nearest neighbours and their distance in Å.
Element x y z (fractional)
Pa 0.0000 0.0000 0.0000  12 Ga 2.91-3.03
Ti 0.0000 0.0000 0.3431  12 Ga 2.81-2.91
Ti 0.0000 0.0000 0.6569  12 Ga 2.81-2.91
Ga 0.0000 0.5000 0.1812  8 Ga 2.82-3.03, 2 Ti 2.86, 2 Pa 3.03
Ga 0.0000 0.5000 0.5000  4 Ti 2.81, 8 Ga 2.86-2.91
Ga 0.0000 0.5000 0.8188  8 Ga 2.82-3.03, 2 Ti 2.86, 2 Pa 3.03
Ga 0.5000 0.0000 0.1812  8 Ga 2.82-3.03, 2 Ti 2.86, 2 Pa 3.03
Ga 0.5000 0.0000 0.5000  4 Ti 2.81, 8 Ga 2.86-2.91
Ga 0.5000 0.0000 0.8188  8 Ga 2.82-3.03, 2 Ti 2.86, 2 Pa 3.03
Ga 0.5000 0.5000 0.0000  4 Pa 2.91, 8 Ga 3.03
Ga 0.5000 0.5000 0.3382  8 Ga 2.82-2.86, 4 Ti 2.91
Ga 0.5000 0.5000 0.6618  8 Ga 2.82-2.86, 4 Ti 2.91



First-principles (PBE) data for an optimized crystal structure of DyMgZn5Pd2, as listed in the Alexandria database.

Values from the calculation:
SG: P4/mmm (123)
Total magnetization: 0.00 μB/atom
ΔE_f: -0.205 eV/atom
Volume: 18.822 Å³ per atom
Final energy: -2.755 eV per atom
DOS at the Fermi energy: 2.90 states/eV/cell

Cell lengths 4.6924, 4.6924, 7.6934 Å; angles 90.00, 90.00, 90.00 degrees
Last column: nearest neighbours and their distance in Å.
Element x y z (fractional)
Dy 0.0000 0.0000 0.0000  12 Zn 2.99-3.32
Mg 0.0000 0.0000 0.5000  8 Zn 3.08
Zn 0.0000 0.5000 0.2408  2 Pd 2.45
Zn 0.0000 0.5000 0.7592  2 Pd 2.45
Zn 0.5000 0.0000 0.2408  2 Pd 2.45
Zn 0.5000 0.0000 0.7592  2 Pd 2.45
Zn 0.5000 0.5000 0.0000  2 Pd 2.55
Pd 0.5000 0.5000 0.3318  5 Zn 2.45-2.55, 1 Pd 2.59
Pd 0.5000 0.5000 0.6682  5 Zn 2.45-2.55, 1 Pd 2.59



First-principles (PBE) data for an optimized crystal structure of Tb2Pr, as listed in the Alexandria database.

Values from the calculation:
SG: I4/mmm (139)
Total magnetization: 0.00 μB/atom
ΔE_f: 0.020 eV/atom
Volume: 33.386 Å³ per atom
Polymorph energy (0 for the lowest one): 22 meV per atom
Final energy: -4.660 eV per atom
DOS at the Fermi energy: 3.96 states/eV/cell

Cell lengths 8.0706, 8.0706, 8.0706 Å; angles 154.10, 154.10, 36.95 degrees
Last column: nearest neighbours and their distance in Å.
Element x y z (fractional)
Tb 0.1687 0.1687 0.0000  8 Tb 3.57-3.62, 4 Pr 3.63
Tb 0.8313 0.8313 0.0000  8 Tb 3.57-3.62, 4 Pr 3.63
Pr 0.5000 0.5000 0.0000  4 Pr 3.62, 8 Tb 3.63



First-principles (PBE) data for an optimized crystal structure of La2Nd3Er, as listed in the Alexandria database.

Values from the calculation:
SG: P6_3/mcm (193)
Total magnetization: 0.00 μB/atom
ΔE_f: 0.004 eV/atom
Volume: 35.044 Å³ per atom
Polymorph energy (0 for the lowest one): 0 meV per atom
Final energy: -4.783 eV per atom
DOS at the Fermi energy: 14.77 states/eV/cell

Cell lengths 6.3950, 6.3950, 11.8729 Å; angles 90.00, 90.00, 120.00 degrees
Last column: nearest neighbours and their distance in Å.
Element x y z (fractional)
La 0.3333 0.6667 0.0000  6 Nd 3.67, 3 Er 3.69, 3 La 3.69
La 0.3333 0.6667 0.5000  6 Nd 3.67, 3 Er 3.69, 3 La 3.69
La 0.6667 0.3333 0.0000  6 Nd 3.67, 3 Er 3.69, 3 La 3.69
La 0.6667 0.3333 0.5000  6 Nd 3.67, 3 Er 3.69, 3 La 3.69
Nd 0.0000 0.3269 0.2500  6 Nd 3.62-3.73, 2 Er 3.63, 4 La 3.67
Nd 0.0000 0.6731 0.7500  6 Nd 3.62-3.73, 2 Er 3.63, 4 La 3.67
Nd 0.3269 0.0000 0.2500  6 Nd 3.62-3.73, 2 Er 3.63, 4 La 3.67
Nd 0.3269 0.3269 0.7500  6 Nd 3.62-3.73, 2 Er 3.63, 4 La 3.67
Nd 0.6731 0.0000 0.7500  6 Nd 3.62-3.73, 2 Er 3.63, 4 La 3.67
Nd 0.6731 0.6731 0.2500  6 Nd 3.62-3.73, 2 Er 3.63, 4 La 3.67
Er 0.0000 0.0000 0.0000  6 Nd 3.63, 6 La 3.69
Er 0.0000 0.0000 0.5000  6 Nd 3.63, 6 La 3.69



First-principles (PBE) data for an optimized crystal structure of TbTl2GaCl6, as listed in the Alexandria database.

Values from the calculation:
SG: R3 (146)
Raw formation energy: -1.483 eV/atom
Total magnetization: 0.00 μB/atom
Volume: 33.335 Å³ per atom
Final energy: -3.829 eV per atom
DOS at the Fermi energy: 0.00 states/eV/cell

Cell lengths 7.8398, 7.8398, 7.8398 Å; angles 59.05, 59.05, 59.05 degrees
Last column: nearest neighbours and their distance in Å.
Element x y z (fractional)
Tb 0.0000 0.0000 0.0000  6 Cl 2.65-2.69
Tl 0.2909 0.2909 0.2909  6 Cl 3.24-3.29
Tl 0.7838 0.7838 0.7838  6 Cl 3.29
Ga 0.5075 0.5075 0.5075  6 Cl 2.95-3.12
Cl 0.1435 0.3217 0.7536  1 Tb 2.65
Cl 0.2098 0.8619 0.6702  1 Tb 2.69, 1 Ga 2.95
Cl 0.3217 0.7536 0.1435  1 Tb 2.65
Cl 0.6702 0.2098 0.8619  1 Tb 2.69, 1 Ga 2.95
Cl 0.7536 0.1435 0.3217  1 Tb 2.65
Cl 0.8619 0.6702 0.2098  1 Tb 2.69, 1 Ga 2.95